Entry 1:
Li2HgRh, optimized geometry, DFT PBE-GGA; symmetry = No. 166
1.0
2.9147 0.0000 0.0000
-1.4574 2.5242 0.0000
0.0000 0.0000 26.6780
Li Hg Rh
6 3 3
Cartesian
0.0000 0.0000 6.4194
0.0000 0.0000 20.2585
0.0000 1.6828 11.3659
0.0000 1.6828 24.2048
1.4574 0.8414 2.4732
1.4574 0.8414 15.3121
0.0000 0.0000 0.0000
0.0000 1.6828 17.7853
1.4574 0.8414 8.8927
0.0000 0.0000 13.3390
0.0000 1.6828 4.4463
1.4574 0.8414 22.2316



Entry 2:
LiHgRh, optimized geometry, DFT PBE-GGA; offset from the most stable computed form = 0.634 eV per formula unit; symmetry = No. 216
1.0
5.8321 0.0000 0.0000
0.0000 5.8321 0.0000
0.0000 0.0000 5.8321
Li Hg Rh
4 4 4
Cartesian
0.0000 0.0000 0.0000
0.0000 2.9161 2.9161
2.9161 0.0000 2.9161
2.9161 2.9161 0.0000
1.4580 1.4580 4.3741
1.4580 4.3741 1.4580
4.3741 1.4580 1.4580
4.3741 4.3741 4.3741
1.4580 1.4580 1.4580
1.4580 4.3741 4.3741
4.3741 1.4580 4.3741
4.3741 4.3741 1.4580



Entry 3:
Li2HgRh, optimized geometry, DFT PBE-GGA; symmetry = No. 10
1.0
2.9873 0.0000 0.0000
0.0000 4.3968 0.0000
-0.3590 0.0000 4.8338
Li Hg Rh
2 1 1
Cartesian
0.6661 0.0000 1.0632
1.9621 0.0000 3.7706
-0.1795 2.1984 2.4169
1.4936 2.1984 0.0000



Entry 4:
LiHgRh2, optimized geometry, DFT PBE-GGA; symmetry = No. 8
1.0
9.0739 0.0000 0.0000
0.0000 2.8680 0.0000
-0.8043 0.0000 4.8088
Li Hg Rh
2 2 4
Cartesian
0.0000 0.0000 0.0000
4.5370 1.4340 0.0000
2.1417 1.4340 1.0266
6.6786 0.0000 1.0266
-0.3868 1.4340 2.5848
1.6537 0.0000 3.4167
4.1502 0.0000 2.5848
6.1906 1.4340 3.4167



Entry 5:
LiHg3Rh, optimized geometry, DFT PBE-GGA; offset from the most stable computed form = 0.000 eV per formula unit; symmetry = No. 221
1.0
5.2407 0.0000 0.0000
0.0000 5.2407 0.0000
0.0000 0.0000 5.2407
Li Hg Rh
1 3 1
Cartesian
0.0000 0.0000 0.0000
0.0000 2.6203 2.6203
2.6203 0.0000 2.6203
2.6203 2.6203 0.0000
2.6203 2.6203 2.6203



Entry 6:
LiHgRh2, optimized geometry, DFT PBE-GGA; symmetry = No. 119
1.0
4.0734 0.0000 0.0000
0.0000 4.0734 0.0000
0.0000 0.0000 7.4521
Li Hg Rh
2 2 4
Cartesian
0.0000 0.0000 0.0000
2.0367 2.0367 3.7261
0.0000 2.0367 1.8630
2.0367 0.0000 5.5891
0.0000 0.0000 3.7261
0.0000 2.0367 5.5891
2.0367 0.0000 1.8630
2.0367 2.0367 0.0000



Entry 7:
Li2HgRh, optimized geometry, DFT PBE-GGA; symmetry = No. 119
1.0
4.3562 0.0000 0.0000
0.0000 4.3562 0.0000
0.0000 0.0000 6.6923
Li Hg Rh
4 2 2
Cartesian
0.0000 0.0000 0.0000
0.0000 2.1781 1.6731
2.1781 0.0000 5.0193
2.1781 2.1781 3.3462
0.0000 0.0000 3.3462
2.1781 2.1781 0.0000
0.0000 2.1781 5.0193
2.1781 0.0000 1.6731



Entry 8:
LiHgRh2, optimized geometry, DFT PBE-GGA; symmetry = No. 12
1.0
9.2402 0.0000 0.0000
0.0000 2.8392 0.0000
-0.8999 0.0000 4.6762
Li Hg Rh
2 2 4
Cartesian
0.0000 0.0000 0.0000
4.6201 1.4196 0.0000
-0.4499 1.4196 2.3381
4.1702 0.0000 2.3381
2.0587 1.4196 1.0932
1.6615 0.0000 3.5830
6.6788 0.0000 1.0932
6.2817 1.4196 3.5830



Entry 9:
Li2HgRh, optimized geometry, DFT PBE-GGA; symmetry = No. 47
1.0
3.2455 0.0000 0.0000
0.0000 3.2557 0.0000
0.0000 0.0000 5.6837
Li Hg Rh
2 1 1
Cartesian
0.0000 0.0000 1.2416
0.0000 0.0000 4.4422
1.6228 1.6278 2.8419
1.6228 1.6278 0.0000



Entry 10:
Li4HgRh, optimized geometry, DFT PBE-GGA; offset from the most stable computed form = 0.337 eV per formula unit; symmetry = No. 10
1.0
2.8066 0.0000 0.0000
0.0000 4.3938 0.0000
-0.0337 0.0000 7.5581
Li Hg Rh
4 1 1
Cartesian
0.2134 0.0000 2.3561
0.4555 2.1969 6.4427
2.3174 2.1969 1.1153
2.5595 0.0000 5.2020
1.3865 2.1969 3.7790
1.4033 0.0000 0.0000



Entry 11:
LiHg4Rh2, optimized geometry, DFT PBE-GGA; symmetry = No. 139
1.0
6.5880 0.0000 0.0000
0.0000 6.5880 0.0000
0.0000 0.0000 6.2653
Li Hg Rh
2 8 4
Cartesian
0.0000 0.0000 0.0000
3.2940 3.2940 3.1326
1.6470 1.6470 1.5663
1.6470 1.6470 4.6990
1.6470 4.9410 1.5663
1.6470 4.9410 4.6990
4.9410 1.6470 1.5663
4.9410 1.6470 4.6990
4.9410 4.9410 1.5663
4.9410 4.9410 4.6990
0.0000 3.2940 0.0000
0.0000 3.2940 3.1326
3.2940 0.0000 0.0000
3.2940 0.0000 3.1326



Entry 12:
LiHgRh, optimized geometry, DFT PBE-GGA; offset from the most stable computed form = 0.434 eV per formula unit; symmetry = No. 42
1.0
3.0967 0.0000 0.0000
0.0000 4.7449 0.0000
0.0000 0.0000 13.6127
Li Hg Rh
4 4 4
Cartesian
0.0000 0.0000 0.0000
0.0000 2.3725 6.8063
1.5483 0.0000 6.8063
1.5483 2.3725 0.0000
0.0000 0.0000 9.1935
0.0000 2.3725 2.3871
1.5483 0.0000 2.3871
1.5483 2.3725 9.1935
0.0000 0.0000 4.7966
0.0000 2.3725 11.6030
1.5483 0.0000 11.6030
1.5483 2.3725 4.7966



no.,energy of formation (eV per atom)
1,-0.113
2,0.132
3,-0.171
4,-0.024
5,0.079
6,-0.004
7,-0.216
8,-0.036
9,-0.194
10,-0.177
11,-0.098
12,0.065